# 1
Material: CaRePt3
Method: DFT, SCAN
State: PBEsol geometry

Lattice parameters (Å, degrees): 4.7174 4.7174 4.7174 90.00 90.00 90.00
Fractional positions:
Ca 0.0000 0.0000 0.0000
Re 0.5000 0.5000 0.5000
Pt 0.0000 0.5000 0.0000
Pt 0.0000 0.0000 0.5000
Pt 0.5000 0.0000 0.0000

Properties
The calculation puts the total energy at -56.134 eV/atom. The total moment comes out at 4.4 μB/cell. The value obtained for the formation energy is 2.134 eV/atom.

# 2
Material: ReRu2W
Method: DFT, SCAN
State: PBEsol geometry

Lattice parameters (Å, degrees): 2.7263 2.7263 9.0711 81.36 81.36 60.00
Fractional positions:
Ru 0.7499 0.7499 0.7504
Ru 0.9990 0.9990 0.0030
Re 0.2540 0.2540 0.2381
W 0.4972 0.4972 0.5085

Properties
The calculation puts the total energy at -52.462 eV/atom. The total moment comes out at 0.0 μB/cell. The value obtained for the formation energy is 0.148 eV/atom.

# 3
Material: ScWSe
Method: DFT, SCAN
State: PBEsol geometry

Lattice parameters (Å, degrees): 3.0232 3.0232 6.2706 99.55 99.55 108.17
Fractional positions:
Se 0.6684 0.6684 0.3368
Sc 0.0069 0.0069 0.0139
W 0.3247 0.3247 0.6493

Properties
The calculation puts the total energy at -34.575 eV/atom. The total moment comes out at 0.0 μB/cell. Its uncorrected formation energy is 92.8 meV per atom.

# 4
Material: InCo2Br
Method: DFT, SCAN
State: PBEsol geometry

Lattice parameters (Å, degrees): 3.6553 3.6553 5.3638 109.92 109.92 90.00
Fractional positions:
Br 0.2500 0.7500 0.5000
Co 0.0000 0.0000 0.0000
Co 0.7500 0.2500 0.5000
In 0.5000 0.5000 0.0000

Properties
The calculation puts the total energy at -21.210 eV/atom. The total moment comes out at 3.4 μB/cell. Its uncorrected formation energy is 653.2 meV per atom.

# 5
Material: Cr2O3
Method: DFT, SCAN
State: PBEsol geometry

Lattice parameters (Å, degrees): 4.9763 4.9763 5.3142 62.08 62.08 60.00
Fractional positions:
Cr 0.1497 0.1497 0.5509
Cr 0.6497 0.6497 0.0509
Cr 0.8503 0.8503 0.4491
Cr 0.3503 0.3503 0.9491
O 0.7500 0.0515 0.7500
O 0.2500 0.9485 0.2500
O 0.5515 0.2500 0.2500
O 0.9485 0.5515 0.2500
O 0.0515 0.4485 0.7500
O 0.4485 0.7500 0.7500

Properties
The calculation puts the total energy at -13.649 eV/atom. The total moment comes out at 12.0 μB/cell. Its uncorrected formation energy is -2556.7 meV per atom.

# 6
Material: TlFe2Rh
Method: DFT, SCAN
State: PBEsol geometry

Lattice parameters (Å, degrees): 3.7985 3.7985 4.0041 90.00 90.00 90.00
Fractional positions:
Fe 0.0000 0.5000 0.0000
Fe 0.5000 0.0000 0.0000
Tl 0.0000 0.0000 0.5000
Rh 0.5000 0.5000 0.5000

Properties
The calculation puts the total energy at -35.457 eV/atom. The total moment comes out at 6.2 μB/cell. The value obtained for the formation energy is 0.140 eV/atom.